[1]
Density functional theory data (PBE) for crystalline NpCuH8Ir2 at its relaxed geometry.

Cell and atoms, written as POSCAR:
```
NpCuH8Ir2
1.0
-4.5746 0.9524 -0.2907
-2.6251 0.0810 3.8756
-1.3195 5.7226 1.8143
Np Cu H Ir
1 1 8 2
Direct
0.5000 0.5000 0.5000
0.0000 0.0000 0.0000
0.1862 0.1862 0.4414
0.6292 0.2931 0.1662
0.8138 0.8138 0.5586
0.9114 0.6292 0.1662
0.0886 0.3708 0.8338
0.2931 0.9114 0.1662
0.7069 0.0886 0.8338
0.3708 0.7069 0.8338
0.2862 0.2862 0.1413
0.7138 0.7138 0.8587
```

- Crystal system: trigonal
- SG: R-3


[2]
Density functional theory data (PBE) for crystalline Cu2HIrO at its relaxed geometry.

Cell and atoms, written as POSCAR:
```
Cu2HIrO
1.0
4.7332 0.0000 0.0000
0.0000 3.1494 0.0000
0.0000 0.0000 4.7332
H Ir O Cu
1 1 1 2
Direct
0.0000 0.5000 0.0000
0.0000 0.0000 0.0000
0.5000 0.5000 0.5000
0.0000 0.0000 0.5000
0.5000 0.0000 0.0000
```

- Crystal system: tetragonal
- SG: P4/mmm


[3]
Density functional theory data (PBE) for crystalline PaCuH8Ir2 at its relaxed geometry.

Cell and atoms, written as POSCAR:
```
PaCuH8Ir2
1.0
-0.6480 -2.6951 3.5011
3.5688 -1.6754 2.2186
0.8119 2.9966 5.3048
Pa Cu H Ir
1 1 8 2
Direct
0.5000 0.5000 0.5000
0.0000 0.0000 0.0000
0.9505 0.4190 0.6799
0.7419 0.4106 0.1056
0.0495 0.5810 0.3201
0.2581 0.5894 0.8944
0.5728 0.0320 0.3247
0.4272 0.9680 0.6753
0.0705 0.0320 0.3247
0.9295 0.9680 0.6753
0.2864 0.2786 0.1485
0.7136 0.7214 0.8515
```

- Crystal system: monoclinic
- SG: C2/m


[4]
Density functional theory data (PBE) for crystalline PaCuH6Ir2 at its relaxed geometry.

Cell and atoms, written as POSCAR:
```
PaCuH6Ir2
1.0
-1.8315 -4.1252 -0.5639
1.5671 -2.7579 -3.2600
3.1764 -4.1758 1.8863
Pa Cu H Ir
1 1 6 2
Direct
0.0000 0.0000 0.0000
0.5000 0.5000 0.5000
0.0870 0.5489 0.8148
0.5493 0.0870 0.8148
0.4511 0.4507 0.1852
0.9130 0.4511 0.1852
0.4507 0.9130 0.1852
0.5489 0.5493 0.8148
0.7884 0.7884 0.6347
0.2116 0.2116 0.3653
```

- Crystal system: trigonal
- SG: R-3m


For each record above, in turn, the calculated VASP energy values are -5.09; -4.00; -4.90; -5.38 eV per atom.